Density functional theory data (PBE) for a relaxed Mg2NiOs crystal.

abc: 5.6005 5.6005 5.6005
angles: 102.57 102.57 124.38
With the nearest neighbours (Å) after each atom.
Fractional positions:
Mg: 0.0987 0.6250 0.9737  2 Ni 2.44, 2 Mg 2.64, 2 Os 2.69
Mg: 0.3750 0.3487 0.4737  2 Ni 2.44, 2 Mg 2.64, 2 Os 2.69
Mg: 0.6513 0.1250 0.0263  2 Ni 2.44, 2 Mg 2.64, 2 Os 2.69
Mg: 0.8750 0.9013 0.5263  2 Ni 2.44, 2 Mg 2.64, 2 Os 2.69
Ni: 0.0000 0.0000 0.0000  4 Mg 2.44, 2 Os 2.61
Ni: 0.7500 0.2500 0.5000  4 Mg 2.44, 2 Os 2.61
Os: 0.2500 0.7500 0.5000  2 Ni 2.61, 4 Mg 2.69
Os: 0.5000 0.5000 0.0000  2 Ni 2.61, 4 Mg 2.69

Properties
For the final energy, the calculation gives -4.445 eV/atom. The calculation puts the energy relative to the lowest polymorph listed for this composition at 555.9 meV per atom. As for the formation energy: 2.42 eV per formula unit.

***

Density functional theory data (PBE) for a relaxed TiCd2SiF crystal.

abc: 4.6819 4.6819 4.3216
angles: 90.00 90.00 90.00
With the nearest neighbours (Å) after each atom.
Fractional positions:
Ti: 0.0000 0.0000 0.0000  8 Cd 3.19, 4 Si 3.31
Cd: 0.0000 0.5000 0.5000  2 F 2.34
Cd: 0.5000 0.0000 0.5000  2 F 2.34
Si: 0.5000 0.5000 0.0000  2 F 2.16
F: 0.5000 0.5000 0.5000  2 Si 2.16, 4 Cd 2.34

Properties
For the final energy, the calculation gives -3.409 eV/atom. The calculation puts the raw formation energy at -0.5 kJ/mol of atoms.

***

Density functional theory data (PBE) for a relaxed NaCaAlB2 crystal.

abc: 4.3104 4.3104 5.2447
angles: 90.00 90.00 90.00
With the nearest neighbours (Å) after each atom.
Fractional positions:
Na: 0.0000 0.0000 0.0000  4 Ca 3.05, 8 B 3.39
Ca: 0.5000 0.5000 0.0000  2 Al 2.62
Al: 0.5000 0.5000 0.5000  4 B 2.16
B: 0.0000 0.5000 0.5000  2 Al 2.16
B: 0.5000 0.0000 0.5000  2 Al 2.16

Properties
For the final energy, the calculation gives -2.941 eV/atom. As for the formation energy: 5.71 eV per formula unit.

***

Density functional theory data (PBE) for a relaxed Na2DyPuSe4 crystal.

abc: 7.2545 4.1843 7.3745
angles: 90.00 109.20 90.00
With the nearest neighbours (Å) after each atom.
Fractional positions:
Na: 0.0000 0.0000 0.0000  6 Se 3.04-3.05
Na: 0.5000 0.5000 0.0000  6 Se 3.07-3.08
Dy: 0.0000 0.5000 0.5000  6 Se 2.88-2.89
Pu: 0.5000 0.0000 0.5000  6 Se 2.91-2.93
Se: 0.2397 0.0000 0.7308  2 Dy 2.89, 1 Pu 2.93, 3 Na 3.04-3.07
Se: 0.2540 0.5000 0.2704  1 Dy 2.88, 2 Pu 2.91, 3 Na 3.05-3.08
Se: 0.7460 0.5000 0.7296  1 Dy 2.88, 2 Pu 2.91, 3 Na 3.05-3.08
Se: 0.7603 0.0000 0.2692  2 Dy 2.89, 1 Pu 2.93, 3 Na 3.04-3.07

Properties
For the final energy, the calculation gives -5.984 eV/atom. The calculation puts the raw formation energy at -149.1 kJ/mol of atoms.

***

Density functional theory data (PBE) for a relaxed ScAuBr crystal.

abc: 3.7249 3.7249 6.6880
angles: 90.00 90.00 120.00
With the nearest neighbours (Å) after each atom.
Fractional positions:
Sc: 0.0000 0.0000 0.0000  3 Au 2.70, 3 Br 2.78
Au: 0.3333 0.6667 0.2442  3 Sc 2.70
Br: 0.6667 0.3333 0.7373  3 Sc 2.78

Properties
For the final energy, the calculation gives -4.621 eV/atom. The calculation puts the energy relative to the lowest polymorph listed for this composition at 197.1 meV per atom. The calculation puts the raw formation energy at -83.0 kJ/mol of atoms.

***

Density functional theory data (PBE) for a relaxed Rb2NaCaCr crystal.

abc: 7.6328 7.6328 5.8891
angles: 90.00 90.00 90.00
With the nearest neighbours (Å) after each atom.
Fractional positions:
Rb: 0.0000 0.5000 0.0000  2 Ca 3.82
Rb: 0.5000 0.0000 0.0000  2 Ca 3.82
Na: 0.0000 0.0000 0.5000  8 Rb 4.82, 4 Cr 5.40
Ca: 0.5000 0.5000 0.0000  2 Cr 2.94
Cr: 0.5000 0.5000 0.5000  2 Ca 2.94

Properties
For the final energy, the calculation gives -2.134 eV/atom. As for the formation energy: 4.21 eV per formula unit.

***

Density functional theory data (PBE) for a relaxed Ta3BeIr crystal.

abc: 4.8344 4.8344 4.8344
angles: 90.00 90.00 90.00
With the nearest neighbours (Å) after each atom.
Fractional positions:
Ta: 0.0000 0.0000 0.5000  2 Ir 2.42
Ta: 0.0000 0.5000 0.0000  2 Ir 2.42
Ta: 0.5000 0.0000 0.0000  2 Ir 2.42
Be: 0.5000 0.5000 0.5000  12 Ta 3.42
Ir: 0.0000 0.0000 0.0000  6 Ta 2.42

Properties
For the final energy, the calculation gives -8.254 eV/atom. The calculation puts the energy relative to the lowest polymorph listed for this composition at 1437.7 meV per atom. As for the formation energy: 6.88 eV per formula unit.

***

Density functional theory data (PBE) for a relaxed Tb3CeEr5 crystal.

abc: 9.7470 9.7470 9.7470
angles: 127.75 127.75 77.02
With the nearest neighbours (Å) after each atom.
Fractional positions:
Tb: 0.1200 0.6200 0.7399  1 Tb 2.91, 2 Er 3.03
Tb: 0.2500 0.2500 0.0000  10 Er 3.53-3.81
Tb: 0.3800 0.1200 0.5000  1 Tb 2.91, 2 Er 3.03
Tb: 0.6200 0.8800 0.5000  1 Tb 2.91, 2 Er 3.03
Tb: 0.7500 0.7500 0.0000  10 Er 3.53-3.81
Tb: 0.8800 0.3800 0.2601  1 Tb 2.91, 2 Er 3.03
Ce: 0.2500 0.7500 0.5000  4 Er 2.97
Ce: 0.7500 0.2500 0.5000  4 Er 2.97
Er: 0.0000 0.0000 0.0000  6 Tb 3.42-3.81, 8 Er 3.74
Er: 0.0621 0.1614 0.5000  1 Ce 2.97, 1 Tb 3.03
Er: 0.1614 0.6614 0.0993  1 Ce 2.97, 1 Tb 3.03
Er: 0.3386 0.4379 0.5000  1 Ce 2.97, 1 Tb 3.03
Er: 0.4379 0.9379 0.0993  1 Ce 2.97, 1 Tb 3.03
Er: 0.5000 0.5000 0.0000  6 Tb 3.42-3.81, 8 Er 3.74
Er: 0.5621 0.0621 0.9007  1 Ce 2.97, 1 Tb 3.03
Er: 0.6614 0.5621 0.5000  1 Ce 2.97, 1 Tb 3.03
Er: 0.8386 0.3386 0.9007  1 Ce 2.97, 1 Tb 3.03
Er: 0.9379 0.8386 0.5000  1 Ce 2.97, 1 Tb 3.03

Properties
For the final energy, the calculation gives -4.451 eV/atom. As for the formation energy: 2.58 eV per formula unit.

***

Density functional theory data (PBE) for a relaxed GdTmMgTl crystal.

abc: 5.3337 5.3337 5.3337
angles: 60.00 60.00 60.00
With the nearest neighbours (Å) after each atom.
Fractional positions:
Gd: 0.0000 0.0000 0.0000  4 Tl 3.27, 4 Mg 3.27
Tm: 0.5000 0.5000 0.5000  4 Tl 3.27, 4 Mg 3.27
Mg: 0.2500 0.2500 0.2500  4 Gd 3.27, 4 Tm 3.27
Tl: 0.7500 0.7500 0.7500  4 Tm 3.27, 4 Gd 3.27

Properties
For the final energy, the calculation gives -5.856 eV/atom. As for the formation energy: -0.91 eV per formula unit.

***

Density functional theory data (PBE) for a relaxed Cr3Ni5H12 crystal.

abc: 8.8874 8.8874 8.8874
angles: 109.47 109.47 109.47
With the nearest neighbours (Å) after each atom.
Fractional positions:
Cr: 0.1250 0.2500 0.3750  8 H 1.89-1.95
Cr: 0.1250 0.3750 0.7500  8 H 1.89-1.95
Cr: 0.2500 0.3750 0.1250  8 H 1.89-1.95
Cr: 0.2500 0.8750 0.6250  8 H 1.89-1.95
Cr: 0.3750 0.1250 0.2500  8 H 1.89-1.95
Cr: 0.3750 0.7500 0.1250  8 H 1.89-1.95
Cr: 0.6250 0.2500 0.8750  8 H 1.89-1.95
Cr: 0.6250 0.8750 0.7500  8 H 1.89-1.95
Cr: 0.7500 0.1250 0.3750  8 H 1.89-1.95
Cr: 0.7500 0.6250 0.8750  8 H 1.89-1.95
Cr: 0.8750 0.6250 0.2500  8 H 1.89-1.95
Cr: 0.8750 0.7500 0.6250  8 H 1.89-1.95
Ni: 0.0000 0.0000 0.0000  6 H 1.70
Ni: 0.0000 0.0000 0.5000  6 H 1.70
Ni: 0.0000 0.5000 0.0000  6 H 1.70
Ni: 0.0000 0.5000 0.5000  6 H 1.70
Ni: 0.1250 0.7500 0.8750  4 H 1.62
Ni: 0.1250 0.8750 0.2500  4 H 1.62
Ni: 0.2500 0.1250 0.8750  4 H 1.62
Ni: 0.2500 0.6250 0.3750  4 H 1.62
Ni: 0.3750 0.2500 0.6250  4 H 1.62
Ni: 0.3750 0.6250 0.7500  4 H 1.62
Ni: 0.5000 0.0000 0.0000  6 H 1.70
Ni: 0.5000 0.0000 0.5000  6 H 1.70
Ni: 0.5000 0.5000 0.0000  6 H 1.70
Ni: 0.5000 0.5000 0.5000  6 H 1.70
Ni: 0.6250 0.3750 0.2500  4 H 1.62
Ni: 0.6250 0.7500 0.3750  4 H 1.62
Ni: 0.7500 0.3750 0.6250  4 H 1.62
Ni: 0.7500 0.8750 0.1250  4 H 1.62
Ni: 0.8750 0.1250 0.7500  4 H 1.62
Ni: 0.8750 0.2500 0.1250  4 H 1.62
H: 0.0447 0.2148 0.1343  2 Ni 1.62-1.70
H: 0.0447 0.3299 0.9104  2 Ni 1.62-1.70
H: 0.0805 0.7148 0.6701  2 Ni 1.62-1.70
H: 0.0805 0.8657 0.4104  2 Ni 1.62-1.70
H: 0.0896 0.6343 0.4195  2 Ni 1.62-1.70
H: 0.0896 0.9553 0.6701  2 Ni 1.62-1.70
H: 0.1343 0.0447 0.2148  2 Ni 1.62-1.70
H: 0.1343 0.5896 0.9195  2 Ni 1.62-1.70
H: 0.1701 0.2148 0.5805  2 Ni 1.62-1.70
H: 0.1701 0.4553 0.5896  2 Ni 1.62-1.70
H: 0.2148 0.1343 0.0447  2 Ni 1.62-1.70
H: 0.2148 0.5805 0.1701  2 Ni 1.62-1.70
H: 0.2852 0.3299 0.9195  2 Ni 1.62-1.70
H: 0.2852 0.4553 0.3657  2 Ni 1.62-1.70
H: 0.3299 0.9104 0.0447  2 Ni 1.62-1.70
H: 0.3299 0.9195 0.2852  2 Ni 1.62-1.70
H: 0.3657 0.2852 0.4553  2 Ni 1.62-1.70
H: 0.3657 0.5805 0.9104  2 Ni 1.62-1.70
H: 0.4104 0.0805 0.8657  2 Ni 1.62-1.70
H: 0.4104 0.8299 0.5447  2 Ni 1.62-1.70
H: 0.4195 0.0896 0.6343  2 Ni 1.62-1.70
H: 0.4195 0.8299 0.7852  2 Ni 1.62-1.70
H: 0.4553 0.3657 0.2852  2 Ni 1.62-1.70
H: 0.4553 0.5896 0.1701  2 Ni 1.62-1.70
H: 0.5447 0.4104 0.8299  2 Ni 1.62-1.70
H: 0.5447 0.6343 0.7148  2 Ni 1.62-1.70
H: 0.5805 0.1701 0.2148  2 Ni 1.62-1.70
H: 0.5805 0.9104 0.3657  2 Ni 1.62-1.70
H: 0.5896 0.1701 0.4553  2 Ni 1.62-1.70
H: 0.5896 0.9195 0.1343  2 Ni 1.62-1.70
H: 0.6343 0.4195 0.0896  2 Ni 1.62-1.70
H: 0.6343 0.7148 0.5447  2 Ni 1.62-1.70
H: 0.6701 0.0805 0.7148  2 Ni 1.62-1.70
H: 0.6701 0.0896 0.9553  2 Ni 1.62-1.70
H: 0.7148 0.5447 0.6343  2 Ni 1.62-1.70
H: 0.7148 0.6701 0.0805  2 Ni 1.62-1.70
H: 0.7852 0.4195 0.8299  2 Ni 1.62-1.70
H: 0.7852 0.8657 0.9553  2 Ni 1.62-1.70
H: 0.8299 0.5447 0.4104  2 Ni 1.62-1.70
H: 0.8299 0.7852 0.4195  2 Ni 1.62-1.70
H: 0.8657 0.4104 0.0805  2 Ni 1.62-1.70
H: 0.8657 0.9553 0.7852  2 Ni 1.62-1.70
H: 0.9104 0.0447 0.3299  2 Ni 1.62-1.70
H: 0.9104 0.3657 0.5805  2 Ni 1.62-1.70
H: 0.9195 0.1343 0.5896  2 Ni 1.62-1.70
H: 0.9195 0.2852 0.3299  2 Ni 1.62-1.70
H: 0.9553 0.6701 0.0896  2 Ni 1.62-1.70
H: 0.9553 0.7852 0.8657  2 Ni 1.62-1.70

Properties
For the final energy, the calculation gives -4.844 eV/atom.

***

Density functional theory data (PBE) for a relaxed NaTlIn2 crystal.

abc: 4.6718 4.6697 10.1401
angles: 90.00 90.48 90.00
With the nearest neighbours (Å) after each atom.
Fractional positions:
Na: 0.0039 0.2500 0.3646  6 Tl 3.30-3.64, 4 In 3.39-3.45, 2 Na 3.61
Na: 0.9961 0.7500 0.6354  6 Tl 3.30-3.64, 4 In 3.39-3.45, 2 Na 3.61
Tl: 0.4955 0.2500 0.6343  6 Na 3.30-3.64, 4 In 3.41-3.46, 2 Tl 3.59
Tl: 0.5045 0.7500 0.3657  6 Na 3.30-3.64, 4 In 3.41-3.46, 2 Tl 3.59
In: 0.9997 0.2500 0.8854  8 In 3.29-3.35, 2 Na 3.45, 2 Tl 3.45-3.46
In: 0.0003 0.7500 0.1146  8 In 3.29-3.35, 2 Na 3.45, 2 Tl 3.45-3.46
In: 0.4988 0.7500 0.8792  8 In 3.30-3.38, 2 Na 3.39-3.41, 2 Tl 3.41
In: 0.5012 0.2500 0.1208  8 In 3.30-3.38, 2 Na 3.39-3.41, 2 Tl 3.41

Properties
For the final energy, the calculation gives -2.364 eV/atom. The calculation puts the energy relative to the lowest polymorph listed for this composition at 0.0 meV per atom. As for the formation energy: -0.29 eV per formula unit.

***

Density functional theory data (PBE) for a relaxed Na3MgAg3I8 crystal.

abc: 8.8771 8.8771 8.9993
angles: 119.54 119.54 59.66
With the nearest neighbours (Å) after each atom.
Fractional positions:
Na: 0.0000 0.0000 0.0000  6 I 3.23-3.24
Na: 0.0000 0.5000 0.0000  6 I 3.22-3.25
Na: 0.5000 0.0000 0.0000  6 I 3.22-3.25
Mg: 0.0000 0.0000 0.5000  6 I 2.97-2.98
Ag: 0.0000 0.5000 0.5000  6 I 3.06-3.13
Ag: 0.5000 0.0000 0.5000  6 I 3.06-3.13
Ag: 0.5000 0.5000 0.5000  6 I 3.09-3.10
I: 0.2353 0.2353 0.7249  1 Mg 2.98, 2 Ag 3.09, 2 Na 3.23
I: 0.2375 0.7555 0.7270  1 Mg 2.97, 2 Ag 3.09-3.13, 2 Na 3.22-3.23
I: 0.2445 0.7625 0.2730  1 Mg 2.97, 2 Ag 3.09-3.13, 2 Na 3.22-3.23
I: 0.2553 0.2553 0.2696  3 Ag 3.06-3.10, 3 Na 3.24-3.25
I: 0.7447 0.7447 0.7304  3 Ag 3.06-3.10, 3 Na 3.24-3.25
I: 0.7555 0.2375 0.7270  1 Mg 2.97, 2 Ag 3.09-3.13, 2 Na 3.22-3.23
I: 0.7625 0.2445 0.2730  1 Mg 2.97, 2 Ag 3.09-3.13, 2 Na 3.22-3.23
I: 0.7647 0.7647 0.2751  1 Mg 2.98, 2 Ag 3.09, 2 Na 3.23

Properties
For the final energy, the calculation gives -2.533 eV/atom. The calculation puts the raw formation energy at -73.9 kJ/mol of atoms.

***

Magnetization? In order: 3.0; 1.0; 0.0; 5.0; 0.0; 5.3; 0.0; 2.1; 7.7; 39.3; 0.0; 0.0 μB/cell.